GGA-PBE KSiMo4, relaxed; uncorrected formation energy = 6.35 eV per formula unit; electronic total energy = -43.50 eV per cell; space-group type = F-43m; ρ = 6.8 g/cm³
1.0
0.000 3.803 3.803
3.803 0.000 3.803
3.803 3.803 0.000
K Si Mo
1 1 4
Cartesian
0.000 0.000 0.000 K
1.902 1.902 1.902 Si
4.760 2.847 2.847 Mo
2.847 4.760 2.847 Mo
2.847 2.847 4.760 Mo
4.760 4.760 4.760 Mo